The following is a PBE with a Hubbard U calculation of a geometry-optimized CsAc2CrO5 structure, from Alexandria.

abc: 7.265 7.265 6.020
angles: 90.00 90.00 90.00
Space group P4/mbm (No. 127)
Unique sites:
Cs: 0.000 0.000 0.000 (multiplicity 2)
Ac: 0.183 0.317 0.500 (multiplicity 4)
Cr: 0.000 0.500 0.000 (multiplicity 2)
O: 0.000 0.000 0.500 (multiplicity 2)
O: 0.127 0.627 0.239 (multiplicity 8)

Calculated values
- Total moment: 2.97 μB/f.u.
- Crystal system: tetragonal
- VASP energy: -127.2 eV/cell